Here is an optimized crystal structure of ScOs3 from Alexandria. Energies are from PBE.

* raw total energy: -10.078 eV per atom
* calculated formation energy: -0.0725 eV per atom
* space group: No. 44
* spin magnetization: 0.000 μB per atom
* crystal system: orthorhombic

abc: 4.791 5.338 2.813
angles: 74.72 90.00 116.67
Atoms (fractional coordinates):
Sc (0.601, 0.500, 0.750)
Os (0.479, 0.968, 0.516)
Os (0.011, 0.032, 0.984)
Os (0.076, 0.500, 0.250)



Here is an optimized crystal structure of ScOs2 from Alexandria. Energies are from PBE.

* raw total energy: -9.613 eV per atom
* calculated formation energy: -0.0159 eV per atom
* space group: No. 8
* spin magnetization: 0.000 μB per atom
* crystal system: monoclinic

abc: 5.290 5.290 6.804
angles: 74.62 74.62 31.43
Atoms (fractional coordinates):
Os (0.016, 0.016, 0.007)
Os (0.610, 0.610, 0.281)
Os (0.654, 0.654, 0.673)
Os (0.325, 0.325, 0.330)
Sc (0.282, 0.282, 0.964)
Sc (0.947, 0.947, 0.579)